No. 1
A plane-wave DFT calculation with PBE-GGA was carried out for an optimized crystal structure of Cd2IrPt.

Unit cell a=4.1962 b=4.1962 c=3.9231 alpha=90.00 beta=90.00 gamma=90.00
Last column: nearest neighbours and their distance in Å.
Atoms (fractional coordinates):
Cd 0.0000 0.5000 0.0000  4 Ir 2.87, 4 Pt 2.87, 4 Cd 2.97
Cd 0.5000 0.0000 0.0000  4 Ir 2.87, 4 Pt 2.87, 4 Cd 2.97
Ir 0.0000 0.0000 0.5000  8 Cd 2.87, 4 Pt 2.97
Pt 0.5000 0.5000 0.5000  8 Cd 2.87, 4 Ir 2.97

Summary:
DFT total energy	-16.76	eV/f.u.
symmetry	P4/mmm, No. 123
energy of formation	-0.007	eV/atom
M_tot	0.000	μB/atom



No. 2
A plane-wave DFT calculation with PBE-GGA was carried out for an optimized crystal structure of Pu4CdIrPt2.

Unit cell a=8.5737 b=8.5737 c=8.5737 alpha=34.49 beta=34.49 gamma=34.49
Last column: nearest neighbours and their distance in Å.
Atoms (fractional coordinates):
Pu 0.1124 0.1124 0.1124  1 Ir 2.72, 4 Pt 2.91-2.95
Pu 0.3617 0.3617 0.3617  3 Ir 3.01, 1 Pt 3.12, 3 Pu 3.24, 1 Cd 3.34
Pu 0.6383 0.6383 0.6383  3 Ir 3.01, 1 Pt 3.12, 3 Pu 3.24, 1 Cd 3.34
Pu 0.8876 0.8876 0.8876  1 Ir 2.72, 4 Pt 2.91-2.95
Cd 0.5000 0.5000 0.5000  8 Pu 3.22-3.34, 6 Pt 3.34
Ir 0.0000 0.0000 0.0000  8 Pu 2.72-3.01
Pt 0.2327 0.2327 0.2327  5 Pu 2.91-3.12
Pt 0.7673 0.7673 0.7673  5 Pu 2.91-3.12

Summary:
DFT total energy	-83.05	eV/f.u.
symmetry	R-3m, No. 166
energy of formation	-0.483	eV/atom
M_tot	2.739	μB/atom